#one
Entry from the Alexandria database: crystalline ScCu2HRh at its relaxed geometry (PBE).

The space group is P4/mmm (No. 123) and the conventional cell measures 3.752, 3.752 and 4.280 Å, with angles of 90.00, 90.00 and 90.00 degrees. The asymmetric unit holds Sc at (0.000, 0.000, 0.000), Cu at (0.000, 0.500, 0.500), H at (0.000, 0.000, 0.500) and Rh at (0.500, 0.500, 0.000).

#two
Entry from the Alexandria database: crystalline ScCu2HRh at its relaxed geometry (PBE).

The space group is P4/mmm (No. 123) and the conventional cell measures 3.871, 3.871 and 4.050 Å, with angles of 90.00, 90.00 and 90.00 degrees. The asymmetric unit holds Sc at (0.000, 0.000, 0.000), Cu at (0.000, 0.500, 0.500), H at (0.500, 0.500, 0.500) and Rh at (0.500, 0.500, 0.000).

The data favor #one; the next most stable structure lies 0.061 eV/atom above it.

#one
Entry from the Alexandria database: crystalline ScCuHRh2 at its relaxed geometry (PBE).

The space group is P4/mmm (No. 123) and the conventional cell measures 4.050, 4.050 and 3.744 Å, with angles of 90.00, 90.00 and 90.00 degrees. The asymmetric unit holds Sc at (0.000, 0.000, 0.000), Cu at (0.500, 0.500, 0.000), H at (0.500, 0.500, 0.500) and Rh at (0.000, 0.500, 0.500).

#two
Entry from the Alexandria database: crystalline ScCuHRh2 at its relaxed geometry (PBE).

The space group is P4/mmm (No. 123) and the conventional cell measures 3.931, 3.931 and 4.022 Å, with angles of 90.00, 90.00 and 90.00 degrees. The asymmetric unit holds Sc at (0.000, 0.000, 0.000), Cu at (0.500, 0.500, 0.000), H at (0.000, 0.000, 0.500) and Rh at (0.000, 0.500, 0.500).

The data favor #one; the next most stable structure lies 0.040 eV/atom above it.

#one
Entry from the Alexandria database: crystalline TaCuHRh2 at its relaxed geometry (PBE).

The space group is P4/mmm (No. 123) and the conventional cell measures 4.039, 4.039 and 3.703 Å, with angles of 90.00, 90.00 and 90.00 degrees. The asymmetric unit holds Ta at (0.000, 0.000, 0.000), Cu at (0.500, 0.500, 0.000), H at (0.500, 0.500, 0.500) and Rh at (0.000, 0.500, 0.500).

#two
Entry from the Alexandria database: crystalline TaCuHRh2 at its relaxed geometry (PBE).

The space group is P4/mmm (No. 123) and the conventional cell measures 3.954, 3.954 and 3.902 Å, with angles of 90.00, 90.00 and 90.00 degrees. The asymmetric unit holds Ta at (0.000, 0.000, 0.000), Cu at (0.500, 0.500, 0.000), H at (0.000, 0.000, 0.500) and Rh at (0.000, 0.500, 0.500).

The data favor #one; the next most stable structure lies 0.026 eV/atom above it.

#one
Entry from the Alexandria database: crystalline Ta2CuHRh at its relaxed geometry (PBE).

The space group is P4/mmm (No. 123) and the conventional cell measures 4.038, 4.038 and 3.956 Å, with angles of 90.00, 90.00 and 90.00 degrees. The asymmetric unit holds Ta at (0.000, 0.500, 0.000), Cu at (0.000, 0.000, 0.500), H at (0.000, 0.000, 0.000) and Rh at (0.500, 0.500, 0.500).

#two
Entry from the Alexandria database: crystalline Ta2CuHRh at its relaxed geometry (PBE).

The space group is P4/mmm (No. 123) and the conventional cell measures 4.058, 4.058 and 3.941 Å, with angles of 90.00, 90.00 and 90.00 degrees. The asymmetric unit holds Ta at (0.000, 0.500, 0.000), Cu at (0.000, 0.000, 0.500), H at (0.500, 0.500, 0.000) and Rh at (0.500, 0.500, 0.500).

The data favor #one; the next most stable structure lies 0.024 eV/atom above it.

#one
Entry from the Alexandria database: crystalline CuTcHRh2 at its relaxed geometry (PBE).

The space group is P4/mmm (No. 123) and the conventional cell measures 3.939, 3.939 and 3.785 Å, with angles of 90.00, 90.00 and 90.00 degrees. The asymmetric unit holds Cu at (0.000, 0.000, 0.000), Tc at (0.500, 0.500, 0.000), H at (0.000, 0.000, 0.500) and Rh at (0.000, 0.500, 0.500).

#two
Entry from the Alexandria database: crystalline CuTcHRh2 at its relaxed geometry (PBE).

The space group is P4/mmm (No. 123) and the conventional cell measures 3.897, 3.897 and 3.861 Å, with angles of 90.00, 90.00 and 90.00 degrees. The asymmetric unit holds Cu at (0.000, 0.000, 0.000), Tc at (0.500, 0.500, 0.000), H at (0.500, 0.500, 0.500) and Rh at (0.000, 0.500, 0.500).

The data favor #two; the next most stable structure lies 0.012 eV/atom above it.

#one
Entry from the Alexandria database: crystalline Cu2TcHRh at its relaxed geometry (PBE).

The space group is P4/mmm (No. 123) and the conventional cell measures 3.847, 3.847 and 3.802 Å, with angles of 90.00, 90.00 and 90.00 degrees. The asymmetric unit holds Cu at (0.000, 0.500, 0.000), Tc at (0.000, 0.000, 0.500), H at (0.000, 0.000, 0.000) and Rh at (0.500, 0.500, 0.500).

#two
Entry from the Alexandria database: crystalline Cu2TcHRh at its relaxed geometry (PBE).

The space group is P4/mmm (No. 123) and the conventional cell measures 4.713, 4.713 and 4.610 Å, with angles of 90.00, 90.00 and 90.00 degrees. The asymmetric unit holds Cu at (0.000, 0.500, 0.000), Tc at (0.000, 0.000, 0.500), H at (0.500, 0.500, 0.500) and Rh at (0.000, 0.000, 0.000).

The data favor #one; the next most stable structure lies 1.421 eV/atom above it.

#one
Entry from the Alexandria database: crystalline Ti2CuHRh at its relaxed geometry (PBE).

The space group is P4/mmm (No. 123) and the conventional cell measures 4.016, 4.016 and 3.739 Å, with angles of 90.00, 90.00 and 90.00 degrees. The asymmetric unit holds Ti at (0.000, 0.500, 0.000), Cu at (0.000, 0.000, 0.500), H at (0.000, 0.000, 0.000) and Rh at (0.500, 0.500, 0.500).

#two
Entry from the Alexandria database: crystalline Ti2CuHRh at its relaxed geometry (PBE).

The space group is P4/mmm (No. 123) and the conventional cell measures 4.000, 4.000 and 3.819 Å, with angles of 90.00, 90.00 and 90.00 degrees. The asymmetric unit holds Ti at (0.000, 0.500, 0.000), Cu at (0.000, 0.000, 0.500), H at (0.500, 0.500, 0.000) and Rh at (0.500, 0.500, 0.500).

The data favor #one; the next most stable structure lies 0.029 eV/atom above it.

#one
Entry from the Alexandria database: crystalline V2CuHRh at its relaxed geometry (PBE).

The space group is P4/mmm (No. 123) and the conventional cell measures 3.781, 3.781 and 3.860 Å, with angles of 90.00, 90.00 and 90.00 degrees. The asymmetric unit holds V at (0.000, 0.500, 0.000), Cu at (0.000, 0.000, 0.500), H at (0.500, 0.500, 0.000) and Rh at (0.500, 0.500, 0.500).

#two
Entry from the Alexandria database: crystalline V2CuHRh at its relaxed geometry (PBE).

The space group is P4/mmm (No. 123) and the conventional cell measures 3.768, 3.768 and 3.850 Å, with angles of 90.00, 90.00 and 90.00 degrees. The asymmetric unit holds V at (0.000, 0.500, 0.000), Cu at (0.000, 0.000, 0.500), H at (0.000, 0.000, 0.000) and Rh at (0.500, 0.500, 0.500).

The data favor #two; the next most stable structure lies 0.012 eV/atom above it.